No. 1
Below is a relaxed Tl2Ag2Te2Cl crystal, with properties calculated at the PBE-GGA level.

Geometry as POSCAR:
```
Tl2Ag2Te2Cl
1.0
-1.366 3.395 2.811
-6.674 -1.313 2.132
-1.257 -3.311 7.176
Cl Te Ag Tl
1 2 2 2
direct
0.000 0.000 0.000 Cl
0.210 0.271 0.310 Te
0.790 0.729 0.690 Te
0.762 0.385 0.092 Ag
0.238 0.615 0.908 Ag
0.541 0.222 0.696 Tl
0.459 0.778 0.304 Tl
```

No. 2
Below is a relaxed Tl2AgTeCl6 crystal, with properties calculated at the PBE-GGA level.

Geometry as POSCAR:
```
Tl2AgTeCl6
1.0
7.354 0.000 0.000
0.000 8.162 0.000
0.000 0.000 11.159
Cl Tl Ag Te
12 4 2 2
direct
0.751 0.067 0.500 Cl
0.743 0.514 0.500 Cl
0.257 0.514 0.500 Cl
0.749 0.933 0.000 Cl
0.000 0.802 0.280 Cl
0.500 0.198 0.220 Cl
0.249 0.067 0.500 Cl
0.500 0.198 0.780 Cl
0.251 0.933 0.000 Cl
0.243 0.486 0.000 Cl
0.757 0.486 0.000 Cl
0.000 0.802 0.720 Cl
0.000 0.173 0.271 Tl
0.500 0.827 0.229 Tl
0.500 0.827 0.771 Tl
0.000 0.173 0.729 Tl
0.500 0.218 0.000 Ag
0.000 0.782 0.500 Ag
0.500 0.300 0.500 Te
0.000 0.700 0.000 Te
```

No. 3
Below is a relaxed TlAg2TeCl6 crystal, with properties calculated at the PBE-GGA level.

Geometry as POSCAR:
```
TlAg2TeCl6
1.0
-4.697 2.649 -4.293
0.513 -7.640 1.027
-1.331 -0.089 8.021
Cl Te Ag Tl
6 1 2 1
direct
0.560 0.956 0.736 Cl
0.460 0.038 0.231 Cl
0.747 0.614 0.634 Cl
0.063 0.381 0.151 Cl
0.183 0.203 0.766 Cl
0.794 0.750 0.169 Cl
0.992 0.982 0.974 Te
0.503 0.724 0.315 Ag
0.653 0.338 0.843 Ag
0.012 0.491 0.483 Tl
```

No. 4
Below is a relaxed ZrAg2TeCl crystal, with properties calculated at the PBE-GGA level.

Geometry as POSCAR:
```
ZrAg2TeCl
1.0
-2.044 4.647 -2.457
-2.446 -3.020 -3.676
-4.581 -0.281 3.279
Te Ag Zr Cl
1 2 1 1
direct
0.000 0.500 0.000 Te
0.000 0.000 0.500 Ag
0.500 0.000 0.000 Ag
0.000 0.000 0.000 Zr
0.500 0.500 0.500 Cl
```

No. 5
Below is a relaxed ThAgCl crystal, with properties calculated at the PBE-GGA level.

Geometry as POSCAR:
```
ThAgCl
1.0
-1.603 2.981 -1.232
-1.953 -2.960 0.646
-2.391 4.781 14.682
Ag Cl Th
2 2 2
direct
0.320 0.641 0.000 Ag
0.336 0.673 0.500 Ag
0.336 0.672 0.783 Cl
0.336 0.672 0.217 Cl
0.669 0.338 0.654 Th
0.669 0.338 0.346 Th
```

No. 6
Below is a relaxed ThAg5Cl12 crystal, with properties calculated at the PBE-GGA level.

Geometry as POSCAR:
```
ThAg5Cl12
1.0
-2.175 1.699 6.015
3.564 -2.183 5.546
6.251 11.228 1.957
Ag Cl Th
5 12 1
direct
0.662 0.676 0.000 Ag
0.167 0.666 0.500 Ag
0.500 0.000 0.500 Ag
0.833 0.334 0.500 Ag
0.338 0.324 0.000 Ag
0.055 0.320 0.880 Cl
0.945 0.680 0.120 Cl
0.375 0.680 0.880 Cl
0.486 0.333 0.609 Cl
0.514 0.667 0.391 Cl
0.728 0.000 0.871 Cl
0.820 0.667 0.609 Cl
0.272 0.000 0.129 Cl
0.847 0.000 0.391 Cl
0.625 0.320 0.120 Cl
0.153 0.000 0.609 Cl
0.180 0.333 0.391 Cl
0.000 0.000 0.000 Th
```

No. 7
Below is a relaxed ThAgCl5 crystal, with properties calculated at the PBE-GGA level.

Geometry as POSCAR:
```
ThAgCl5
1.0
-4.306 4.400 3.023
-3.279 -6.439 -3.078
3.775 -2.695 9.301
Ag Cl Th
2 10 2
direct
0.611 0.000 0.250 Ag
0.389 0.000 0.750 Ag
0.576 0.776 0.020 Cl
0.025 0.677 0.864 Cl
0.975 0.323 0.136 Cl
0.424 0.224 0.980 Cl
0.826 0.000 0.750 Cl
0.200 0.776 0.520 Cl
0.349 0.323 0.636 Cl
0.651 0.677 0.364 Cl
0.800 0.224 0.480 Cl
0.174 0.000 0.250 Cl
0.000 0.000 0.000 Th
0.000 0.000 0.500 Th
```

No. 8
Below is a relaxed ThAg3Cl8 crystal, with properties calculated at the PBE-GGA level.

Geometry as POSCAR:
```
ThAg3Cl8
1.0
8.043 0.000 0.000
-4.022 5.756 -3.936
0.000 -0.172 7.877
Cl Ag Th
8 3 1
direct
0.766 0.005 0.247 Cl
0.722 0.444 0.169 Cl
0.761 0.522 0.755 Cl
0.761 0.995 0.753 Cl
0.234 0.995 0.753 Cl
0.278 0.556 0.831 Cl
0.239 0.478 0.245 Cl
0.239 0.005 0.247 Cl
0.500 0.000 0.000 Ag
0.500 0.500 0.000 Ag
0.000 0.500 0.000 Ag
0.000 0.000 0.000 Th
```

No. 9
Below is a relaxed ThAg3Cl9 crystal, with properties calculated at the PBE-GGA level.

Geometry as POSCAR:
```
ThAg3Cl9
1.0
-2.618 -0.164 6.967
-9.841 0.553 0.293
0.329 -12.982 3.796
Th Ag Cl
2 6 18
direct
0.921 0.468 0.968 Th
0.643 0.968 0.468 Th
0.684 0.906 0.973 Ag
0.955 0.084 0.137 Ag
0.824 0.584 0.637 Ag
0.420 0.737 0.235 Ag
0.608 0.237 0.735 Ag
0.437 0.406 0.473 Ag
0.306 0.909 0.117 Cl
0.060 0.316 0.104 Cl
0.136 0.625 0.579 Cl
0.742 0.678 0.852 Cl
0.317 0.234 0.577 Cl
0.389 0.952 0.361 Cl
0.512 0.565 0.354 Cl
0.728 0.178 0.352 Cl
0.534 0.518 0.090 Cl
0.857 0.018 0.590 Cl
0.931 0.265 0.831 Cl
0.570 0.065 0.854 Cl
0.520 0.816 0.604 Cl
0.871 0.734 0.077 Cl
0.668 0.409 0.617 Cl
0.298 0.452 0.861 Cl
0.973 0.765 0.331 Cl
0.660 0.125 0.079 Cl
```

No. 10
Below is a relaxed ThTlAgCl6 crystal, with properties calculated at the PBE-GGA level.

Geometry as POSCAR:
```
ThTlAgCl6
1.0
-1.793 6.494 -2.131
-4.084 -5.520 -1.668
-7.484 1.891 12.063
Cl Tl Th Ag
12 2 2 2
direct
0.367 0.011 0.140 Cl
0.356 0.367 0.860 Cl
0.644 0.633 0.140 Cl
0.633 0.644 0.640 Cl
0.989 0.633 0.360 Cl
0.644 0.011 0.360 Cl
0.011 0.367 0.640 Cl
0.633 0.989 0.860 Cl
0.989 0.356 0.140 Cl
0.367 0.356 0.360 Cl
0.356 0.989 0.640 Cl
0.011 0.644 0.860 Cl
0.000 0.000 0.000 Tl
0.000 0.000 0.500 Tl
0.333 0.667 0.750 Th
0.667 0.333 0.250 Th
0.333 0.667 0.250 Ag
0.667 0.333 0.750 Ag
```

No. 11
Below is a relaxed ThTlAg2Cl8 crystal, with properties calculated at the PBE-GGA level.

Geometry as POSCAR:
```
ThTlAg2Cl8
1.0
-3.711 -0.307 -5.552
5.031 -3.158 -2.776
-3.134 -8.018 1.595
Cl Ag Tl Th
8 2 1 1
direct
0.687 0.715 0.028 Cl
0.681 0.697 0.520 Cl
0.313 0.285 0.972 Cl
0.186 0.797 0.778 Cl
0.814 0.203 0.222 Cl
0.826 0.213 0.775 Cl
0.319 0.303 0.480 Cl
0.174 0.787 0.225 Cl
0.537 0.538 0.285 Ag
0.463 0.462 0.715 Ag
0.000 0.000 0.500 Tl
0.000 0.000 0.000 Th
```

No. 12
Below is a relaxed TiAgCl crystal, with properties calculated at the PBE-GGA level.

Geometry as POSCAR:
```
TiAgCl
1.0
-2.245 0.882 1.912
-0.334 -2.545 -1.695
6.212 -8.192 11.074
Ti Ag Cl
2 2 2
direct
0.634 0.269 0.349 Ti
0.634 0.269 0.651 Ti
0.300 0.601 0.500 Ag
0.495 0.991 0.000 Ag
0.301 0.602 0.240 Cl
0.301 0.602 0.760 Cl
```

| no. | calculated volume (Å³/cell) | formation energy from raw total energies (eV per atom) |
| --- | --- | --- |
| 1 | 214.21 | -0.32 |
| 2 | 669.74 | -0.67 |
| 3 | 316.72 | -0.55 |
| 4 | 170.15 | 0.54 |
| 5 | 175.72 | -0.58 |
| 6 | 514.57 | -0.83 |
| 7 | 476.85 | -1.61 |
| 8 | 359.28 | -1.11 |
| 9 | 867.27 | -1.02 |
| 10 | 619.27 | -1.55 |
| 11 | 380.01 | -1.22 |
| 12 | 123.86 | -0.50 |